Model a:
First-principles (PBE) data for crystalline Ag5HgPd4 at its relaxed geometry, as listed in the Alexandria database.

The structure belongs to space group Pmmn (No. 59, origin choice 2); the cell edges are 8.357, 9.507 and 4.924 Å and the angles 90.00°, 90.00° and 90.00°. Symmetry generates all atoms from Ag at (0.082, 0.002, 0.246), Ag at (0.250, 0.750, 0.079), Hg at (0.250, 0.250, 0.523), Pd at (0.079, 0.750, 0.575) and Pd at (0.250, 0.514, 0.745).

=====

Model b:
First-principles (PBE) data for crystalline Ag5HgPd4 at its relaxed geometry, as listed in the Alexandria database.

The structure belongs to space group C2/m (No. 12); the cell edges are 14.143, 4.309 and 6.896 Å and the angles 90.00°, 117.90° and 90.00°. Symmetry generates all atoms from Ag at (0.000, 0.000, 0.000), Ag at (0.165, 0.500, 0.205), Ag at (0.183, 0.500, 0.628), Hg at (0.000, 0.000, 0.500), Pd at (0.022, 0.500, 0.762) and Pd at (0.176, 0.000, 0.921).

=====

Preferred: model b; penalty for the next structure: 47 meV per atom.

=====

Model a:
First-principles (PBE) data for crystalline Ag6HgPd at its relaxed geometry, as listed in the Alexandria database.

The structure belongs to space group P4/mmm (No. 123); the cell edges are 4.199, 4.199 and 8.172 Å and the angles 90.00°, 90.00° and 90.00°. Symmetry generates all atoms from Ag at (0.000, 0.000, 0.000), Ag at (0.000, 0.000, 0.500), Ag at (0.000, 0.500, 0.241), Hg at (0.500, 0.500, 0.500) and Pd at (0.500, 0.500, 0.000).

=====

Model b:
First-principles (PBE) data for crystalline Ag6HgPd at its relaxed geometry, as listed in the Alexandria database.

The structure belongs to space group P-6m2 (No. 187); the cell edges are 5.9119, 5.9119 and 4.7813 Å and the angles 90.00°, 90.00° and 120.00°. Symmetry generates all atoms from Ag at (0.0044, 0.5022, 0.0000), Ag at (0.3387, 0.1693, 0.5000), Hg at (0.0000, 0.0000, 0.0000) and Pd at (0.3333, 0.6667, 0.5000).

=====

Preferred: model a; penalty for the next structure: 14 meV per atom.

=====

Model a:
First-principles (PBE) data for crystalline Ag2Hg2Pd7 at its relaxed geometry, as listed in the Alexandria database.

The structure belongs to space group Imm2 (No. 44); the cell edges are 3.902, 12.028 and 8.280 Å and the angles 90.00°, 90.00° and 90.00°. Symmetry generates all atoms from Ag at (0.000, 0.000, 0.000), Ag at (0.000, 0.500, 0.254), Hg at (0.000, 0.346, 0.997), Pd at (0.000, 0.166, 0.246), Pd at (0.000, 0.170, 0.751), Pd at (0.000, 0.329, 0.499) and Pd at (0.000, 0.500, 0.744).

=====

Model b:
First-principles (PBE) data for crystalline Ag2Hg2Pd7 at its relaxed geometry, as listed in the Alexandria database.

The structure belongs to space group C2/m (No. 12); the cell edges are 9.248, 9.376 and 5.002 Å and the angles 90.00°, 116.74° and 90.00°. Symmetry generates all atoms from Ag at (0.100, 0.000, 0.330), Hg at (0.000, 0.309, 0.000), Pd at (0.000, 0.500, 0.500), Pd at (0.171, 0.256, 0.671) and Pd at (0.245, 0.000, 0.956).

=====

Preferred: model a; penalty for the next structure: 34 meV per atom.

=====

Model a:
First-principles (PBE) data for crystalline Ag2HgPd3 at its relaxed geometry, as listed in the Alexandria database.

The structure belongs to space group Cmmm (No. 65); the cell edges are 4.260, 12.746 and 3.773 Å and the angles 90.00°, 90.00° and 90.00°. Symmetry generates all atoms from Ag at (0.000, 0.170, 0.000), Hg at (0.000, 0.500, 0.000), Pd at (0.000, 0.000, 0.500) and Pd at (0.000, 0.333, 0.500).

=====

Model b:
First-principles (PBE) data for crystalline Ag2HgPd3 at its relaxed geometry, as listed in the Alexandria database.

The structure belongs to space group C2/c (No. 15); the cell edges are 7.288, 8.061 and 7.275 Å and the angles 90.00°, 100.95° and 90.00°. Symmetry generates all atoms from Ag at (0.125, 0.244, 0.126), Hg at (0.000, 0.419, 0.750), Pd at (0.000, 0.083, 0.750) and Pd at (0.244, 0.085, 0.500).

=====

Preferred: model a; penalty for the next structure: 94 meV per atom.